[1]
# BaMnRe2

A geometry-optimized BaMnRe2 structure (GGA-PBE, Alexandria via LeMat-Bulk).

It has space group Immm (No. 71), with a = 2.8619 Å, b = 4.9831 Å, c = 10.4990 Å, α = 90.00°, β = 90.00° and γ = 90.00°. The asymmetric unit holds Ba at (0.0000, 0.0000, 0.0000), Mn at (0.0000, 0.0000, 0.5000) and Re at (0.0000, 0.5000, 0.2128).

Its density of states at the Fermi level is 1.236 states/eV per atom. Its size of the total moment is 4.6 μB/cell. The energy above the lowest structure with this stoichiometry comes out at 0.592 eV per atom. The formation energy comes out at 1.126 eV per atom.

***

[2]
# Y2MnInN

A geometry-optimized Y2MnInN structure (GGA-PBE, Alexandria via LeMat-Bulk).

It has space group P4/mmm (No. 123), with a = 5.0324 Å, b = 5.0324 Å, c = 3.7043 Å, α = 90.00°, β = 90.00° and γ = 90.00°. The asymmetric unit holds Y at (0.0000, 0.5000, 0.0000), Mn at (0.0000, 0.0000, 0.5000), In at (0.5000, 0.5000, 0.5000) and N at (0.0000, 0.0000, 0.0000).

Its density of states at the Fermi level is 0.491 states/eV per atom. Its size of the total moment is 0.2 μB/cell. As for the formation energy from raw total energies: -3.45 eV/f.u.

***

> The highest size of the total moment belongs to which entry?

BaMnRe2

***

> Number 1 is which compound?

BaMnRe2

***

> Look up the size of the total moment of the first one.

4.6 μB/cell

***

> Which of these has the lowest size of the total moment?

Y2MnInN